# 1
AgIr3F PBE relaxed; offset from the most stable computed form = 0.000 eV/atom; magnetic moment = 0.71 μB/f.u.; electronic total energy = -0.35885 Ry/atom
1.0
4.2896 0.0000 0.0000
0.0000 4.2896 0.0000
0.0000 0.0000 4.2896
Ag Ir F
1 3 1
Direct
0.0000 0.0000 0.0000
0.0000 0.5000 0.5000
0.5000 0.0000 0.5000
0.5000 0.5000 0.0000
0.5000 0.5000 0.5000


# 2
Ag3IrF6 PBE relaxed; offset from the most stable computed form = 0.045 eV/atom; magnetic moment = 0.15 μB/f.u.; electronic total energy = -0.29061 Ry/atom
1.0
0.0000 4.2628 5.2562
3.6683 0.0000 5.2562
3.6683 4.2628 0.0000
Ag Ir F
3 1 6
Direct
0.0000 0.0000 0.0000
0.2500 0.2500 0.2500
0.7500 0.7500 0.7500
0.5000 0.5000 0.5000
0.1665 0.5699 0.8335
0.2643 0.7357 0.2643
0.4301 0.8335 0.5699
0.5699 0.1665 0.4301
0.7357 0.2643 0.7357
0.8335 0.4301 0.1665


# 3
AgIr3F PBE relaxed; offset from the most stable computed form = 1.145 eV/atom; magnetic moment = 4.83 μB/f.u.; electronic total energy = -0.27471 Ry/atom
1.0
4.9069 0.0000 0.0000
0.0000 4.9069 0.0000
0.0000 0.0000 4.9069
Ag Ir F
1 3 1
Direct
0.0000 0.0000 0.0000
0.0000 0.0000 0.5000
0.0000 0.5000 0.0000
0.5000 0.0000 0.0000
0.5000 0.5000 0.5000


# 4
Ag2IrF7 PBE relaxed; magnetic moment = 0.00 μB/f.u.; electronic total energy = -0.29516 Ry/atom
1.0
6.6644 -3.1814 0.0000
6.6644 3.1814 0.0000
-6.0633 0.0000 7.0064
Ag Ir F
4 2 14
Direct
0.1094 0.2840 0.2823
0.2840 0.1094 0.7823
0.7160 0.8906 0.2177
0.8906 0.7160 0.7177
0.3675 0.6325 0.2500
0.6325 0.3675 0.7500
0.0595 0.9405 0.2500
0.1411 0.5547 0.2320
0.2467 0.5529 0.9707
0.2607 0.5043 0.6449
0.4453 0.8589 0.2680
0.4471 0.7533 0.5293
0.4957 0.7393 0.8551
0.5043 0.2607 0.1449
0.5529 0.2467 0.4707
0.5547 0.1411 0.7320
0.7393 0.4957 0.3551
0.7533 0.4471 0.0293
0.8589 0.4453 0.7680
0.9405 0.0595 0.7500